{"formula": "LuPa2H", "functional": "PBE-GGA", "state": "optimized geometry", "lattice": [[3.187, 0.000, 0.000], [1.594, 2.760, 0.000], [1.594, 0.920, 9.354]], "species": ["H", "Pa", "Pa", "Lu"], "fractional_positions": [[0.500, 0.500, 0.500], [0.111, 0.111, 0.666], [0.889, 0.889, 0.334], [0.000, 0.000, 0.000]], "rho_kg_m3": 12875, "dft_energy_ev_per_cell": -26.251}